1.
Material: Rb2Li2F5
Method: DFT, GGA-PBE
State: optimized geometry

Its formation energy without anion corrections is -2478 meV per atom. The space group is Imma. Its excess energy over the best structure of this formula in the dataset is 1.0 kJ/mol of atoms. As for the volume: 16.0 Å³/atom.

Cell lengths 9.193, 9.193, 9.193 Å; angles 142.36, 54.40, 142.20 degrees
Fractional positions:
Rb1 0.126 0.005 0.120
Rb2 0.385 0.005 0.380
Rb3 0.615 0.995 0.620
Rb4 0.874 0.995 0.880
Li1 0.000 0.500 0.500
Li2 0.318 0.568 0.750
Li3 0.500 0.500 0.000
Li4 0.682 0.432 0.250
F1 0.105 0.465 0.640
F2 0.252 0.000 0.752
F3 0.252 0.500 0.252
F4 0.325 0.465 0.860
F5 0.500 0.000 0.000
F6 0.500 0.500 0.500
F7 0.675 0.535 0.140
F8 0.748 0.000 0.248
F9 0.748 0.500 0.748
F10 0.895 0.535 0.360


2.
Material: HfScPCl2
Method: DFT, GGA-PBE
State: optimized geometry

Its formation energy without anion corrections is -596 meV per atom. The space group is P4/mmm. Its excess energy over the best structure of this formula in the dataset is 0.0 kJ/mol of atoms. As for the volume: 24.2 Å³/atom.

Cell lengths 4.826, 4.826, 5.199 Å; angles 90.00, 90.00, 90.00 degrees
Fractional positions:
Hf1 0.000 0.000 0.000
Sc1 0.500 0.500 0.500
P1 0.000 0.000 0.500
Cl1 0.000 0.500 0.000
Cl2 0.500 0.000 0.000


3.
Material: Pr3ErPb2
Method: DFT, GGA-PBE
State: optimized geometry

The space group is P-4m2. Its excess energy over the best structure of this formula in the dataset is 0.0 kJ/mol of atoms. The calculation puts the energy of formation from the pure elements at -434 meV/atom. As for the volume: 32.7 Å³/atom.

Cell lengths 4.699, 4.699, 8.888 Å; angles 90.00, 90.00, 90.00 degrees
Fractional positions:
Pr1 0.000 0.000 0.000
Pr2 0.000 0.500 0.654
Pr3 0.500 0.000 0.346
Er1 0.500 0.500 0.000
Pb1 0.000 0.500 0.280
Pb2 0.500 0.000 0.720


4.
Material: PuNbGa
Method: DFT, GGA-PBE
State: optimized geometry

The space group is Pmma. Its excess energy over the best structure of this formula in the dataset is 15.8 kJ/mol of atoms. The calculation puts the energy of formation from the pure elements at 158 meV/atom. As for the volume: 23.3 Å³/atom.

Cell lengths 5.896, 4.691, 5.062 Å; angles 90.00, 90.00, 90.00 degrees
Fractional positions:
Pu1 0.250 0.000 0.001
Pu2 0.750 0.000 0.999
Nb1 0.000 0.000 0.500
Nb2 0.500 0.000 0.500
Ga1 0.250 0.500 0.503
Ga2 0.750 0.500 0.497


5.
Material: In7Hg3Bi2
Method: DFT, GGA-PBE
State: optimized geometry

The space group is P2/m. The calculation puts the energy of formation from the pure elements at 59 meV/atom. As for the volume: 29.1 Å³/atom.

Cell lengths 5.057, 3.578, 19.338 Å; angles 90.00, 92.58, 90.00 degrees
Fractional positions:
In1 0.000 0.000 0.000
In2 0.023 0.500 0.186
In3 0.272 0.500 0.550
In4 0.479 0.000 0.863
In5 0.521 0.000 0.137
In6 0.728 0.500 0.450
In7 0.977 0.500 0.814
Hg1 0.163 0.000 0.391
Hg2 0.500 0.500 0.000
Hg3 0.837 0.000 0.609
Bi1 0.466 0.500 0.709
Bi2 0.534 0.500 0.291


6.
Material: Na2TbNp3Se6
Method: DFT, GGA-PBE
State: optimized geometry

Its formation energy without anion corrections is -1286 meV per atom. The space group is C2/m. As for the volume: 25.4 Å³/atom.

Cell lengths 7.183, 7.183, 7.225 Å; angles 99.50, 99.50, 119.95 degrees
Fractional positions:
Na1 0.166 0.834 0.000
Na2 0.834 0.166 0.000
Tb1 0.500 0.500 0.000
Np1 0.000 0.000 0.500
Np2 0.330 0.670 0.500
Np3 0.670 0.330 0.500
Se1 0.089 0.416 0.748
Se2 0.259 0.259 0.256
Se3 0.416 0.089 0.748
Se4 0.584 0.911 0.252
Se5 0.741 0.741 0.744
Se6 0.911 0.584 0.252


7.
Material: Mg3SiPd6
Method: DFT, GGA-PBE
State: optimized geometry

Its formation energy without anion corrections is -639 meV per atom. The space group is P2_1/m. As for the volume: 15.5 Å³/atom.

Cell lengths 7.530, 4.523, 9.693 Å; angles 90.00, 110.32, 90.00 degrees
Fractional positions:
Mg1 0.025 0.250 0.381
Mg2 0.125 0.750 0.211
Mg3 0.284 0.250 0.986
Mg4 0.716 0.750 0.014
Mg5 0.875 0.250 0.789
Mg6 0.975 0.750 0.619
Si1 0.454 0.250 0.595
Si2 0.546 0.750 0.405
Pd1 0.040 0.750 0.919
Pd2 0.176 0.250 0.673
Pd3 0.268 0.750 0.501
Pd4 0.350 0.750 0.825
Pd5 0.355 0.250 0.320
Pd6 0.429 0.750 0.141
Pd7 0.571 0.250 0.859
Pd8 0.645 0.750 0.680
Pd9 0.650 0.250 0.175
Pd10 0.732 0.250 0.499
Pd11 0.824 0.750 0.327
Pd12 0.960 0.250 0.081


8.
Material: La10Ga3Ge3
Method: DFT, GGA-PBE
State: optimized geometry

The space group is P-62m. The calculation puts the energy of formation from the pure elements at -559 meV/atom. As for the volume: 30.7 Å³/atom.

Cell lengths 9.023, 9.023, 6.974 Å; angles 90.00, 90.00, 120.00 degrees
Fractional positions:
La1 0.000 0.247 0.000
La2 0.000 0.755 0.500
La3 0.245 0.245 0.500
La4 0.247 0.000 0.000
La5 0.333 0.667 0.242
La6 0.333 0.667 0.758
La7 0.667 0.333 0.242
La8 0.667 0.333 0.758
La9 0.753 0.753 0.000
La10 0.755 0.000 0.500
Ga1 0.000 0.401 0.500
Ga2 0.401 0.000 0.500
Ga3 0.599 0.599 0.500
Ge1 0.000 0.607 0.000
Ge2 0.393 0.393 0.000
Ge3 0.607 0.000 0.000